# Li6CoNi5O12 (PBE+U, optimized geometry)
data_Li6CoNi5O12
_cell_length_a 4.935
_cell_length_b 4.950
_cell_length_c 9.903
_cell_angle_alpha 86.71
_cell_angle_beta 79.56
_cell_angle_gamma 62.06
_space_group_name_H-M_alt 'P -1'
_space_group_IT_number 2
loop_
_space_group_symop_operation_xyz
'x,y,z'
'-x,-y,-z'
loop_
_atom_site_label
_atom_site_type_symbol
_atom_site_fract_x
_atom_site_fract_y
_atom_site_fract_z
Li1 Li 0.070 0.021 0.243
Li2 Li 0.271 0.307 0.755
Li3 Li 0.401 0.354 0.242
Co1 Co 0.500 0.000 0.000
Ni1 Ni 0.000 0.000 0.500
Ni2 Ni 0.169 0.665 0.000
Ni3 Ni 0.333 0.334 0.500
O1 O 0.018 0.685 0.388
O2 O 0.143 0.323 0.110
O3 O 0.236 0.986 0.887
O4 O 0.315 0.647 0.612
O5 O 0.351 0.019 0.390
O6 O 0.450 0.699 0.114
# * total magnetization: 7.00 μB/f.u.
# * total DFT energy (no corrections): -119.66 eV for the cell shown